DFT (GGA-PBE) results for crystalline CeZrCuMo at its relaxed geometry.

Lattice parameters (Å, degrees): 4.8088 4.8088 4.8088 60.00 60.00 60.00
Atoms (fractional coordinates):
Mo (0.7500, 0.7500, 0.7500)
Cu (0.2500, 0.2500, 0.2500)
Zr (0.0000, 0.0000, 0.0000)
Ce (0.5000, 0.5000, 0.5000)

Summary:
VASP energy: -0.268 hartree per atom
Formation energy: 0.06 eV/atom
ρ: 8.25 Mg/m³

DFT (GGA-PBE) results for crystalline TcAgCl2 at its relaxed geometry.

Lattice parameters (Å, degrees): 6.0111 5.4669 3.2370 68.74 96.96 125.85
Last column: magnetic moment on the atom in μB.
Atoms (fractional coordinates):
Cl (0.0000, 0.0000, 0.0000)  0.04
Ag (0.5000, 0.5000, 0.0000)  0.00
Tc (0.0000, 0.5000, 0.5000)  2.73
Cl (0.5000, 0.0000, 0.5000)  0.04

Summary:
Energy relative to the elements, uncorrected: 0.38 eV per atom
VASP energy: -0.141 hartree per atom
Polymorph energy (0 for the lowest one): 1.63 eV/f.u.
ρ: 5.76 Mg/m³

DFT (GGA-PBE) results for crystalline NdHoCo3 at its relaxed geometry.

Lattice parameters (Å, degrees): 3.9140 4.1760 11.8024 100.19 90.00 90.00
Last column: magnetic moment on the atom in μB.
Atoms (fractional coordinates):
Nd (0.2500, 0.0717, 0.1433)  -0.10
Co (0.2500, 0.6702, 0.3403)  0.69
Co (0.2500, 0.4755, 0.9511)  0.88
Nd (0.7500, 0.9283, 0.8567)  -0.10
Co (0.7500, 0.5245, 0.0489)  0.88
Ho (0.7500, 0.2060, 0.4120)  -0.20
Co (0.7500, 0.3298, 0.6597)  0.69
Ho (0.2500, 0.7940, 0.5880)  -0.20
Co (0.7500, 0.6231, 0.2462)  0.83
Co (0.2500, 0.3769, 0.7538)  0.83

Summary:
VASP energy: -0.231 hartree per atom
Formation energy: -0.14 eV/atom
ρ: 8.50 Mg/m³

DFT (GGA-PBE) results for crystalline Sm2SiPd6 at its relaxed geometry.

Lattice parameters (Å, degrees): 5.7400 5.7226 5.9991 77.54 90.00 120.10
Atoms (fractional coordinates):
Si (0.0000, 0.0000, 0.0000)
Pd (0.8755, 0.2622, 0.6930)
Pd (0.1245, 0.7378, 0.3070)
Sm (0.3582, 0.7164, 0.8352)
Pd (0.6133, 0.7378, 0.3070)
Pd (0.3867, 0.2622, 0.6930)
Pd (0.8753, 0.7505, 0.7061)
Pd (0.1247, 0.2495, 0.2939)
Sm (0.6418, 0.2836, 0.1648)

Summary:
Energy relative to the elements, uncorrected: -0.84 eV per atom
VASP energy: -0.219 hartree per atom
ρ: 9.73 Mg/m³

DFT (GGA-PBE) results for crystalline HfPaBi2 at its relaxed geometry.

Lattice parameters (Å, degrees): 4.1011 4.1011 8.3186 75.73 75.73 60.00
Last column: magnetic moment on the atom in μB.
Atoms (fractional coordinates):
Bi (0.0893, 0.0893, 0.7322)  -0.02
Pa (0.6684, 0.6684, 0.9949)  1.10
Hf (0.4983, 0.4983, 0.5051)  -0.11
Bi (0.2441, 0.2441, 0.2678)  -0.02

Summary:
VASP energy: -0.249 hartree per atom
Polymorph energy (0 for the lowest one): 0.39 eV/f.u.
Formation energy: 0.03 eV/atom
ρ: 11.83 Mg/m³

DFT (GGA-PBE) results for crystalline Ca2YLu at its relaxed geometry.

Lattice parameters (Å, degrees): 3.6440 3.6440 12.4967 81.62 81.62 60.00
Last column: magnetic moment on the atom in μB.
Atoms (fractional coordinates):
Ca (0.7490, 0.7490, 0.7529)  -0.02
Lu (0.0000, 0.0000, 0.0000)  -0.20
Y (0.5000, 0.5000, 0.5000)  -0.03
Ca (0.2510, 0.2510, 0.2471)  -0.02

Summary:
VASP energy: -0.132 hartree per atom
Polymorph energy (0 for the lowest one): 0.00 eV/f.u.
Formation energy: 0.15 eV/atom
ρ: 4.03 Mg/m³

DFT (GGA-PBE) results for crystalline Y2Cd at its relaxed geometry.

Lattice parameters (Å, degrees): 5.1597 5.1597 5.1597 60.00 60.00 60.00
Atoms (fractional coordinates):
Y (0.7500, 0.7500, 0.7500)
Cd (0.0000, 0.0000, 0.0000)
Y (0.2500, 0.2500, 0.2500)

Summary:
VASP energy: -0.167 hartree per atom
Formation energy: 0.06 eV/atom
ρ: 4.96 Mg/m³

DFT (GGA-PBE) results for crystalline K2CdSe at its relaxed geometry.

Lattice parameters (Å, degrees): 5.4035 5.4035 4.4961 90.01 90.01 90.10
Atoms (fractional coordinates):
K (0.5000, 0.5000, 0.0000)
K (0.0000, 0.0000, 0.0000)
Cd (0.0000, 0.5000, 0.5000)
Se (0.5000, 0.0000, 0.5000)

Summary:
Energy relative to the elements, uncorrected: -0.55 eV per atom
VASP energy: -0.081 hartree per atom
Polymorph energy (0 for the lowest one): 0.41 eV/f.u.
ρ: 3.41 Mg/m³

DFT (GGA-PBE) results for crystalline CoNiSb2 at its relaxed geometry.

Lattice parameters (Å, degrees): 6.0744 6.0744 6.4845 62.07 62.07 90.00
Atoms (fractional coordinates):
Sb (0.3750, 0.3801, 0.7500)
Sb (0.8750, 0.8699, 0.7500)
Co (0.2500, 0.7500, 0.5000)
Sb (0.6199, 0.1250, 0.2500)
Ni (0.7500, 0.2500, 0.5000)
Co (0.5000, 0.5000, 0.0000)
Sb (0.1301, 0.6250, 0.2500)
Ni (0.0000, 0.0000, 0.0000)

Summary:
Energy relative to the elements, uncorrected: 0.28 eV per atom
VASP energy: -0.184 hartree per atom
ρ: 6.69 Mg/m³

DFT (GGA-PBE) results for crystalline ZrVNiH2 at its relaxed geometry.

Lattice parameters (Å, degrees): 3.6025 5.0420 3.6025 90.00 90.00 90.00
Atoms (fractional coordinates):
Ni (0.0000, 0.5000, 0.0000)
H (0.0000, 0.0000, 0.5000)
Zr (0.0000, 0.0000, 0.0000)
V (0.5000, 0.5000, 0.5000)
H (0.5000, 0.0000, 0.0000)

Summary:
VASP energy: -0.204 hartree per atom
ρ: 5.15 Mg/m³

DFT (GGA-PBE) results for crystalline RbPdBr at its relaxed geometry.

Lattice parameters (Å, degrees): 5.8120 5.8120 9.7474 90.00 90.00 120.00
Atoms (fractional coordinates):
Pd (0.0000, 0.0000, 0.5000)
Br (0.0000, 0.0000, 0.7500)
Pd (0.0000, 0.0000, 0.0000)
Rb (0.3333, 0.6667, 0.2500)
Rb (0.6667, 0.3333, 0.7500)
Br (0.0000, 0.0000, 0.2500)

Summary:
Energy relative to the elements, uncorrected: -0.52 eV per atom
VASP energy: -0.115 hartree per atom
Polymorph energy (0 for the lowest one): 0.61 eV/f.u.
ρ: 3.17 Mg/m³

DFT (GGA-PBE) results for crystalline BaLi2CdAg4 at its relaxed geometry.

Lattice parameters (Å, degrees): 4.6332 4.6332 10.3919 77.12 77.12 60.00
Atoms (fractional coordinates):
Cd (0.5000, 0.5000, 0.5000)
Ag (0.8770, 0.8770, 0.3690)
Li (0.7759, 0.7759, 0.6722)
Li (0.2241, 0.2241, 0.3278)
Ag (0.4078, 0.4078, 0.7765)
Ba (0.0000, 0.0000, 0.0000)
Ag (0.1230, 0.1230, 0.6310)
Ag (0.5922, 0.5922, 0.2235)

Summary:
VASP energy: -0.089 hartree per atom
Formation energy: -0.16 eV/atom
ρ: 6.18 Mg/m³

Question: Which value of ρ does entry 7 give?
Answer: 4.96 Mg/m³

Question: Among the records above, which one has the highest ρ?
Answer: HfPaBi2